GGA-PBE VZn2Os, relaxed; DFT formation energy = 444 meV per atom
1.0
2.698 0.000 0.000
-1.349 2.337 0.000
0.000 0.000 28.679
V Zn Os
3 6 3
direct
0.000 0.000 0.000
0.333 0.667 0.667
0.667 0.333 0.333
0.000 0.000 0.090
0.000 0.000 0.910
0.333 0.667 0.577
0.333 0.667 0.756
0.667 0.333 0.244
0.667 0.333 0.423
0.000 0.000 0.500
0.333 0.667 0.167
0.667 0.333 0.833